(1)
{"formula": "Tl2TeW", "functional": "PBE", "state": "optimized geometry", "space_group": "I-42d", "magnetic_moment_mub_per_cell": 0.0, "formation_energy_uncorrected_ev_per_atom": 1.0520, "lattice_angstrom": [[-3.7744, -1.6723, -0.8035], [-0.0246, -1.7762, 3.8122], [-6.8518, 7.4212, 5.7336]], "species": ["Tl", "Tl", "Tl", "Tl", "Te", "Te", "W", "W"], "fractional_positions": [[0.6350, 0.1250, 0.2500], [0.1150, 0.6250, 0.2500], [0.3750, 0.3650, 0.7500], [0.8750, 0.8850, 0.7500], [0.5000, 0.5000, 0.0000], [0.2500, 0.7500, 0.5000], [0.0000, 0.0000, 0.0000], [0.7500, 0.2500, 0.5000]]}

---

(2)
{"formula": "Tl2TeW", "functional": "PBE", "state": "optimized geometry", "space_group": "I4/mmm", "magnetic_moment_mub_per_cell": 3.3, "formation_energy_uncorrected_ev_per_atom": 0.9900, "lattice_angstrom": [[6.4167, 0.0228, 0.0000], [3.5110, 5.3710, 0.0000], [-4.9638, -2.6969, 3.0432]], "species": ["Te", "Tl", "Tl", "W"], "fractional_positions": [[0.7500, 0.2500, 0.5000], [0.0000, 0.0000, 0.0000], [0.5000, 0.5000, 0.0000], [0.2500, 0.7500, 0.5000]]}

---

(3)
{"formula": "Tl2TeW", "functional": "PBE", "state": "optimized geometry", "space_group": "P4/mmm", "magnetic_moment_mub_per_cell": 0.0, "formation_energy_uncorrected_ev_per_atom": 1.0755, "lattice_angstrom": [[-0.1978, -1.5079, 4.8769], [-1.5709, -4.6257, -1.4940], [3.4455, -1.1049, -0.2019]], "species": ["Te", "Tl", "Tl", "W"], "fractional_positions": [[0.0000, 0.5000, 0.5000], [0.0000, 0.0000, 0.0000], [0.5000, 0.5000, 0.0000], [0.5000, 0.0000, 0.5000]]}

---

(4)
{"formula": "Tl3TeW", "functional": "PBE", "state": "optimized geometry", "space_group": "Pm-3m", "magnetic_moment_mub_per_cell": 4.9, "formation_energy_uncorrected_ev_per_atom": 1.5807, "lattice_angstrom": [[-3.1607, 5.2215, 0.4687], [-1.2073, -1.2575, 5.8681], [5.1016, 2.9374, 1.6790]], "species": ["Tl", "Tl", "Tl", "Te", "W"], "fractional_positions": [[0.0000, 0.5000, 0.0000], [0.0000, 0.0000, 0.5000], [0.5000, 0.0000, 0.0000], [0.0000, 0.0000, 0.0000], [0.5000, 0.5000, 0.5000]]}